# 1
Entry from Alexandria: a relaxed La7Ce2Pm2 crystal (PBE).

```
La7Ce2Pm2
1.0
8.497 -3.256 -2.881
-3.684 8.497 3.276
-3.855 3.256 8.102
La Pm Ce
7 2 2
Cartesian
3.918 3.817 3.700
-0.527 7.258 5.143
0.000 0.000 0.000
-2.960 4.680 4.796
1.426 3.817 0.897
-0.467 4.680 7.600
1.485 1.238 3.354
-4.959 10.124 9.084
5.917 -1.627 -0.587
-0.405 4.248 3.254
1.363 4.248 5.242
```

As for the space group: No. 12. The total magnetization is 0.00 μB per formula unit. The total energy is -4.926 eV/atom.



# 2
Entry from Alexandria: a relaxed LaCePm crystal (PBE).

```
LaCePm
1.0
-0.385 -0.673 -3.458
3.464 -4.534 0.497
-5.645 -0.613 0.748
Pm La Ce
1 1 1
Cartesian
-0.064 -0.112 -0.576
0.171 -3.676 -1.725
-2.673 -2.032 0.088
```

As for the space group: No. 187. The total magnetization is 0.92 μB per formula unit. The value obtained for the energy above the most stable polymorph in this dataset is 6.39 kJ per mole of atoms. The total energy is -5.078 eV/atom.



# 3
Entry from Alexandria: a relaxed La6CePm8 crystal (PBE).

```
La6CePm8
1.0
-5.445 5.344 4.567
-8.729 -1.430 -0.908
-4.233 -3.571 6.957
Pm La Ce
8 6 1
Cartesian
-10.260 -1.063 2.323
-8.147 1.407 8.293
-10.999 2.266 3.321
-10.014 -3.127 5.203
-10.624 0.199 6.127
-8.393 3.471 5.413
-7.783 0.145 4.489
-7.409 -1.921 7.295
-14.007 1.148 5.866
-12.176 1.451 9.032
-4.400 -0.804 4.749
-6.231 -1.107 1.584
-5.402 2.211 2.913
-13.005 -1.867 7.702
0.000 0.000 0.000
```

As for the space group: No. 148. The total magnetization is 1.37 μB per formula unit. The total energy is -4.791 eV/atom.



# 4
Entry from Alexandria: a relaxed LaCePm14 crystal (PBE).

```
LaCePm14
1.0
-1.159 4.249 5.827
-1.162 -5.934 4.097
10.067 -0.392 2.288
Pm La Ce
14 1 1
Cartesian
3.292 -0.187 8.807
1.939 -1.788 2.813
4.455 0.657 3.838
3.873 -2.307 5.891
6.393 0.162 6.899
3.874 2.776 6.754
0.767 -2.639 7.821
6.978 -1.985 3.959
1.354 0.358 5.754
-1.740 0.010 7.656
6.391 -4.981 6.026
5.806 -2.835 8.967
1.352 -4.785 4.880
-0.581 0.851 2.700
-1.161 -2.121 4.745
-1.159 2.980 5.611
```

As for the space group: No. 38. The total magnetization is 1.21 μB per formula unit. The total energy is -4.803 eV/atom.